A relaxed AgHgAu crystal, computed with PBEsol.

Output
E_tot in eV per atom: -2.59
Symmetry: I4mm
Distance to the lowest polymorph of the same formula in eV/f.u.: 0.03

a = 2.972 Å, b = 2.972 Å, c = 12.256 Å
α = 90.00°, β = 90.00°, γ = 90.00°
Atoms (fractional coordinates):
Ag (0.000, 0.000, 0.000)
Ag (0.500, 0.500, 0.500)
Hg (0.000, 0.000, 0.331)
Hg (0.500, 0.500, 0.831)
Au (0.000, 0.000, 0.657)
Au (0.500, 0.500, 0.157)